<1>
Tb5Sm4Ho3 (PBE, relaxed); symmetry = P-1, No. 2
1.0
6.188 0.000 0.000
-0.016 7.145 0.000
-0.011 -0.010 8.745
Tb Sm Ho
5 4 3
direct
0.000 0.000 0.000
0.333 0.500 0.333
0.499 0.251 0.000
0.501 0.749 0.000
0.667 0.500 0.667
0.166 0.749 0.668
0.333 0.000 0.332
0.667 0.000 0.668
0.834 0.251 0.332
0.000 0.500 0.000
0.167 0.251 0.668
0.833 0.749 0.332

***

<2>
Tb5Sm4Ho3 (PBE, relaxed); symmetry = C2/m, No. 12
1.0
8.063 -2.956 0.000
8.063 2.956 0.000
-4.165 0.000 8.345
Tb Sm Ho
5 4 3
direct
0.000 0.000 0.000
0.328 0.328 0.614
0.427 0.427 0.298
0.573 0.573 0.702
0.672 0.672 0.386
0.082 0.082 0.443
0.215 0.215 0.880
0.785 0.785 0.120
0.918 0.918 0.557
0.210 0.210 0.232
0.500 0.500 0.000
0.790 0.790 0.768

***

Which structure is the most stable? The one labeled <1>.

***

<1>
Tb5SmHo (PBE, relaxed); symmetry = C2/c, No. 15
1.0
5.872 -3.374 0.000
5.872 3.374 0.000
-4.356 0.000 11.456
Tb Sm Ho
10 2 2
direct
0.086 0.351 0.745
0.088 0.912 0.750
0.156 0.685 0.999
0.315 0.844 0.501
0.351 0.086 0.245
0.649 0.914 0.755
0.685 0.156 0.499
0.844 0.315 0.001
0.912 0.088 0.250
0.914 0.649 0.255
0.471 0.529 0.250
0.529 0.471 0.750
0.000 0.500 0.500
0.500 0.000 0.000

***

<2>
Tb5SmHo (PBE, relaxed); symmetry = Imm2, No. 44
1.0
7.982 0.000 0.000
0.000 11.697 0.000
0.000 0.000 6.163
Tb Sm Ho
10 2 2
direct
0.000 0.000 0.000
0.000 0.246 0.736
0.000 0.754 0.736
0.178 0.500 0.235
0.322 0.000 0.735
0.500 0.254 0.236
0.500 0.500 0.500
0.500 0.746 0.236
0.678 0.000 0.735
0.822 0.500 0.235
0.000 0.000 0.470
0.500 0.500 0.970
0.000 0.500 0.734
0.500 0.000 0.234

***

Which structure is the most stable? The one labeled <1>.